1.
DFT (GGA-PBE) results for an optimized crystal structure of Ba4SrIr.

- N(E_F): 1.72 states/eV/atom
- E_tot: -2.201 eV/atom
- Spin magnetization: 0.0 μB per formula unit
- Relative energy among the computed polymorphs: 939 meV per atom

Cell lengths 10.173, 10.173, 10.173 Å; angles 90.00, 90.00, 90.00 degrees
Space group F-43m (No. 216)
Symmetry-distinct sites (fractional):
Ba (0.122, 0.122, 0.122) [16 per cell]
Sr (0.000, 0.000, 0.500) [4 per cell]
Ir (0.250, 0.250, 0.750) [4 per cell]



2.
DFT (GGA-PBE) results for an optimized crystal structure of Sr2NdBi3Pd4.

- N(E_F): 0.60 states/eV/atom
- E_tot: -4.723 eV/atom
- Spin magnetization: 0.0 μB per formula unit

Cell lengths 4.746, 4.746, 11.868 Å; angles 90.00, 90.00, 90.00 degrees
Space group P-4m2 (No. 115)
Symmetry-distinct sites (fractional):
Sr (0.000, 0.500, 0.217) [2 per cell]
Nd (0.000, 0.000, 0.500) [1 per cell]
Bi (0.000, 0.500, 0.875) [2 per cell]
Bi (0.500, 0.500, 0.500) [1 per cell]
Pd (0.000, 0.000, 0.000) [1 per cell]
Pd (0.000, 0.500, 0.645) [2 per cell]
Pd (0.500, 0.500, 0.000) [1 per cell]